The following is a PBE calculation of a geometry-optimized Mg2ZnIr structure, from Alexandria.

**Calculated volume**: 65.3 Å³/f.u.
**M_tot**: 0.00 μB/f.u.
**VASP energy**: -3.5723 eV/atom
**ΔH_f (0 K)**: -0.241 eV per atom

abc: 3.0356 3.7381 5.7505
angles: 90.00 90.45 90.00
Closest atoms and distances in Å follow each position.
Space group P2/m (No. 10)
Symmetry-distinct sites (fractional):
Mg 0.0001 0.0000 0.2334 [2 per cell]  1 Mg 2.68, 4 Ir 2.75-2.76, 4 Zn 2.85-2.86
Zn 0.5000 0.5000 0.5000 [1 per cell]  8 Mg 2.85-2.86, 2 Ir 2.88, 2 Zn 3.04
Ir 0.5000 0.5000 0.0000 [1 per cell]  8 Mg 2.75-2.76, 2 Zn 2.88, 2 Ir 3.04

=====

The following is a PBE calculation of a geometry-optimized Ta5Re3 structure, from Alexandria.

**Polymorph energy (0 for the lowest one)**: 0 meV per atom
**Calculated volume**: 134.9 Å³/f.u.
**M_tot**: 0.00 μB/f.u.
**VASP energy**: -12.4508 eV/atom
**ΔH_f (0 K)**: -0.375 eV per atom

abc: 3.2138 3.2138 13.0574
angles: 90.00 90.00 90.00
Closest atoms and distances in Å follow each position.
Space group P4/mmm (No. 123)
Symmetry-distinct sites (fractional):
Ta 0.0000 0.0000 0.0000 [1 per cell]  8 Re 2.78
Ta 0.0000 0.0000 0.2430 [2 per cell]  4 Re 2.76, 4 Ta 2.88
Ta 0.5000 0.5000 0.3790 [2 per cell]  4 Re 2.77, 4 Ta 2.88
Re 0.0000 0.0000 0.5000 [1 per cell]  8 Ta 2.77
Re 0.5000 0.5000 0.1232 [2 per cell]  8 Ta 2.76-2.78

=====

The following is a PBE calculation of a geometry-optimized MnPdW2N structure, from Alexandria.

**Calculated volume**: 66.5 Å³/f.u.
**M_tot**: 2.22 μB/f.u.
**Formation energy from raw total energies**: -0.05 eV/atom
**VASP energy**: -9.7700 eV/atom

abc: 4.0945 4.0945 3.9653
angles: 90.00 90.00 90.00
Closest atoms and distances in Å follow each position.
Space group P4/mmm (No. 123)
Symmetry-distinct sites (fractional):
Mn 0.0000 0.0000 0.0000 [1 per cell]  2 N 1.98
Pd 0.5000 0.5000 0.0000 [1 per cell]  8 W 2.85, 4 Mn 2.90
W 0.0000 0.5000 0.5000 [2 per cell]  2 N 2.05
N 0.0000 0.0000 0.5000 [1 per cell]  2 Mn 1.98, 4 W 2.05

=====

The following is a PBE calculation of a geometry-optimized SrGdAgRh structure, from Alexandria.

**Calculated volume**: 96.2 Å³/f.u.
**M_tot**: 7.08 μB/f.u.
**VASP energy**: -6.8099 eV/atom
**ΔH_f (0 K)**: -0.319 eV per atom

abc: 7.2735 7.2735 7.2735
angles: 90.00 90.00 90.00
Closest atoms and distances in Å follow each position.
Space group F-43m (No. 216)
Symmetry-distinct sites (fractional):
Sr 0.0000 0.0000 0.0000 [4 per cell]  4 Rh 3.15, 4 Ag 3.15
Gd 0.0000 0.0000 0.5000 [4 per cell]  4 Rh 3.15, 4 Ag 3.15
Ag 0.2500 0.2500 0.2500 [4 per cell]  4 Gd 3.15, 4 Sr 3.15
Rh 0.2500 0.2500 0.7500 [4 per cell]  4 Gd 3.15, 4 Sr 3.15

=====

Which value of M_tot does entry 3 give?
2.22 μB/f.u.

=====

VASP energy of number 1 (Mg2ZnIr)?
-3.5723 eV/atom

=====

Among the records above, which one has the highest calculated volume?
Ta5Re3